Entry from Alexandria: CoPH after structural relaxation (PBE).

Calculated values
E (eV for the cell shown): -16.08
Calculated density (Mg/m³): 5.3
Magnetization (μB/f.u.): 0.000
ΔE to the lowest computed polymorph (eV/atom): 0.021
SG: R3m, No. 160

Cell lengths 2.9783, 2.9810, 4.0796 Å; angles 90.08, 111.41, 119.92 degrees
With the nearest neighbours (Å) after each atom.
Atoms (fractional coordinates):
Co1 0.1006 0.0968 0.7244  3 H 1.77-1.78
P1 0.5163 0.3049 0.3480  4 Co 2.21-2.31
H1 0.5115 0.8024 0.8400  3 Co 1.77-1.78